Entry 1:
Entry from the Alexandria database: a PBEsol-optimized structure of KNiBr3 (meta-GGA SCAN).

Lattice parameters (Å, degrees): 5.8061 5.8061 5.8061 90.00 90.00 90.00
Last column: nearest neighbours and their distance in Å.
Fractional positions:
Br  0.0000  0.0000  0.5000  2 K 2.90
Br  0.5000  0.0000  0.0000  2 K 2.90
Br  0.0000  0.5000  0.0000  2 K 2.90
K  0.0000  0.0000  0.0000  6 Br 2.90
Ni  0.5000  0.5000  0.5000  12 Br 4.11

Properties
Its crystal system is cubic. The calculation puts the final energy at -16.193 eV per atom. As for the density of states at the Fermi level: 3.24 states/eV per atom. For the total magnetic moment, the calculation gives 2.09 μB per formula unit. The value obtained for the uncorrected formation energy is 0.38 eV/atom. As for the theoretical density: 2.86 g/cm3. The space group is No. 221.

Entry 2:
Entry from the Alexandria database: a PBEsol-optimized structure of KNi2Br (meta-GGA SCAN).

Lattice parameters (Å, degrees): 3.0073 4.9735 5.7016 115.86 105.29 90.00
Last column: nearest neighbours and their distance in Å.
Fractional positions:
Ni  0.2107  0.2107  0.4213  2 Br 2.56
Ni  0.7893  0.7893  0.5787  2 Br 2.56
K  0.0000  0.5000  0.0000  4 Br 2.91, 2 K 3.01, 8 Ni 3.21-3.23
Br  0.5000  0.0000  0.0000  4 Ni 2.56

Properties
Its crystal system is orthorhombic. The calculation puts the final energy at -14.495 eV per atom. As for the density of states at the Fermi level: 0.64 states/eV per atom. For the total magnetic moment, the calculation gives 1.76 μB per formula unit. For the energy above the most stable polymorph in this dataset, the calculation gives 4.0 meV/atom. The value obtained for the uncorrected formation energy is 0.54 eV/atom. As for the theoretical density: 5.35 g/cm3. The space group is No. 71.

Entry 3:
Entry from the Alexandria database: a PBEsol-optimized structure of KNi2Br (meta-GGA SCAN).

Lattice parameters (Å, degrees): 3.9450 3.9450 5.2107 90.00 90.00 90.00
Last column: nearest neighbours and their distance in Å.
Fractional positions:
K  0.0000  0.0000  0.5000  4 Br 2.79
Ni  0.5000  0.0000  0.0000  4 Ni 2.79
Ni  0.0000  0.5000  0.0000  4 Ni 2.79
Br  0.5000  0.5000  0.5000  4 K 2.79

Properties
Its crystal system is tetragonal. The calculation puts the final energy at -14.499 eV per atom. As for the density of states at the Fermi level: 0.86 states/eV per atom. For the total magnetic moment, the calculation gives 2.20 μB per formula unit. For the energy above the most stable polymorph in this dataset, the calculation gives 0.0 meV/atom. The value obtained for the uncorrected formation energy is 0.53 eV/atom. As for the theoretical density: 4.84 g/cm3. The space group is No. 123.

Entry 4:
Entry from the Alexandria database: a PBEsol-optimized structure of KNiBr (meta-GGA SCAN).

Lattice parameters (Å, degrees): 5.1269 5.1269 5.1269 60.00 60.00 60.00
Last column: nearest neighbours and their distance in Å.
Fractional positions:
K  0.7500  0.7500  0.7500  4 Ni 3.14, 4 Br 3.14
Ni  0.0000  0.0000  0.0000  4 K 3.14
Br  0.5000  0.5000  0.5000  4 K 3.14

Properties
Its crystal system is cubic. The calculation puts the final energy at -14.407 eV per atom. As for the density of states at the Fermi level: 1.34 states/eV per atom. For the total magnetic moment, the calculation gives 2.00 μB per formula unit. The value obtained for the uncorrected formation energy is 0.25 eV/atom. As for the theoretical density: 3.10 g/cm3. The space group is No. 216.

Entry 5:
Entry from the Alexandria database: a PBEsol-optimized structure of KNiOsBr2 (meta-GGA SCAN).

Lattice parameters (Å, degrees): 4.7380 5.5539 5.5539 90.00 90.00 90.00
Last column: nearest neighbours and their distance in Å.
Fractional positions:
Br  0.0000  0.5000  0.0000  2 K 2.78
Br  0.0000  0.0000  0.5000  2 K 2.78
Os  0.5000  0.5000  0.5000  8 Br 3.65, 4 Ni 3.93
Ni  0.5000  0.0000  0.0000  2 K 2.37
K  0.0000  0.0000  0.0000  2 Ni 2.37

Properties
Its crystal system is tetragonal. The calculation puts the final energy at -25.341 eV per atom. As for the density of states at the Fermi level: 0.44 states/eV per atom. For the total magnetic moment, the calculation gives 5.03 μB per formula unit. The value obtained for the uncorrected formation energy is 1.72 eV/atom. As for the theoretical density: 5.09 g/cm3. The space group is No. 123.

Entry 6:
Entry from the Alexandria database: a PBEsol-optimized structure of KNiSeBr2 (meta-GGA SCAN).

Lattice parameters (Å, degrees): 4.5599 5.1559 5.1559 90.00 90.00 90.00
Last column: nearest neighbours and their distance in Å.
Fractional positions:
Br  0.0000  0.0000  0.5000  2 Ni 2.58
K  0.5000  0.5000  0.5000  8 Br 3.44, 4 Se 3.65
Se  0.5000  0.0000  0.0000  2 Ni 2.28
Ni  0.0000  0.0000  0.0000  2 Se 2.28
Br  0.0000  0.5000  0.0000  2 Ni 2.58

Properties
Its crystal system is tetragonal. The calculation puts the final energy at -17.401 eV per atom. As for the density of states at the Fermi level: 0.47 states/eV per atom. For the total magnetic moment, the calculation gives 2.06 μB per formula unit. The value obtained for the uncorrected formation energy is -0.70 eV/atom. As for the theoretical density: 4.61 g/cm3. The space group is No. 123.

Entry 7:
Entry from the Alexandria database: a PBEsol-optimized structure of KYNi2Br (meta-GGA SCAN).

Lattice parameters (Å, degrees): 4.8535 4.8535 5.6684 90.00 90.00 90.00
Last column: nearest neighbours and their distance in Å.
Fractional positions:
Ni  0.5000  0.0000  0.0000  2 Y 2.43
Br  0.0000  0.0000  0.5000  2 Y 2.83
Y  0.0000  0.0000  0.0000  4 Ni 2.43
K  0.5000  0.5000  0.5000  4 Br 3.43, 8 Ni 3.73
Ni  0.0000  0.5000  0.0000  2 Y 2.43

Properties
Its crystal system is tetragonal. The calculation puts the final energy at -17.390 eV per atom. As for the density of states at the Fermi level: 0.30 states/eV per atom. For the total magnetic moment, the calculation gives 0.00 μB per formula unit. The value obtained for the uncorrected formation energy is 0.21 eV/atom. As for the theoretical density: 4.05 g/cm3. The space group is No. 123.

Entry 8:
Entry from the Alexandria database: a PBEsol-optimized structure of KBr3O (meta-GGA SCAN).

Lattice parameters (Å, degrees): 4.8160 4.8160 4.8160 90.00 90.00 90.00
Last column: nearest neighbours and their distance in Å.
Fractional positions:
O  0.0000  0.0000  0.0000  6 Br 2.41
K  0.5000  0.5000  0.5000  12 Br 3.41
Br  0.0000  0.5000  0.0000  2 O 2.41
Br  0.0000  0.0000  0.5000  2 O 2.41
Br  0.5000  0.0000  0.0000  2 O 2.41

Properties
Its crystal system is cubic. The calculation puts the final energy at -14.953 eV per atom. As for the density of states at the Fermi level: 0.22 states/eV per atom. For the total magnetic moment, the calculation gives 0.00 μB per formula unit. The value obtained for the uncorrected formation energy is -0.37 eV/atom. As for the theoretical density: 4.38 g/cm3. The space group is No. 221.

Entry 9:
Entry from the Alexandria database: a PBEsol-optimized structure of KBr2O2 (meta-GGA SCAN).

Lattice parameters (Å, degrees): 3.7329 7.7383 7.7383 90.00 90.00 90.00
Last column: nearest neighbours and their distance in Å.
Fractional positions:
O  0.0000  0.2588  0.2412  2 Br 2.00
O  0.0000  0.7412  0.7588  2 Br 2.00
Br  0.5000  0.8255  0.3255  2 O 2.00
O  0.0000  0.2412  0.7412  2 Br 2.00
K  0.0000  0.0000  0.0000  4 O 2.74
K  0.0000  0.5000  0.5000  4 O 2.74
O  0.0000  0.7588  0.2588  2 Br 2.00
Br  0.5000  0.1745  0.6745  2 O 2.00
Br  0.5000  0.6745  0.8255  2 O 2.00
Br  0.5000  0.3255  0.1745  2 O 2.00

Properties
Its crystal system is tetragonal. The calculation puts the final energy at -12.344 eV per atom. As for the density of states at the Fermi level: 0.10 states/eV per atom. For the total magnetic moment, the calculation gives 0.00 μB per formula unit. The value obtained for the uncorrected formation energy is -0.40 eV/atom. As for the theoretical density: 3.43 g/cm3. The space group is No. 127.

Entry 10:
Entry from the Alexandria database: a PBEsol-optimized structure of KBr2O (meta-GGA SCAN).

Lattice parameters (Å, degrees): 6.4169 6.4169 7.5644 115.10 115.10 90.00
Last column: nearest neighbours and their distance in Å.
Fractional positions:
K  0.0000  0.0000  0.0000  8 Br 3.71-4.08
Br  0.6605  0.3750  0.2500  2 O 2.22
Br  0.6250  0.4105  0.7500  2 O 2.22
Br  0.1250  0.3395  0.7500  2 O 2.22
O  0.7500  0.2500  0.5000  4 Br 2.22
Br  0.5895  0.8750  0.2500  2 O 2.22
K  0.2500  0.7500  0.5000  8 Br 3.71-4.08
O  0.5000  0.5000  0.0000  4 Br 2.22

Properties
Its crystal system is tetragonal. The calculation puts the final energy at -13.799 eV per atom. As for the density of states at the Fermi level: 0.09 states/eV per atom. For the total magnetic moment, the calculation gives 0.00 μB per formula unit. The value obtained for the uncorrected formation energy is -0.43 eV/atom. As for the theoretical density: 2.86 g/cm3. The space group is No. 122.

Entry 11:
Entry from the Alexandria database: a PBEsol-optimized structure of KP2BrO (meta-GGA SCAN).

Lattice parameters (Å, degrees): 4.4696 6.0114 6.0114 90.00 90.00 90.00
Last column: nearest neighbours and their distance in Å.
Fractional positions:
K  0.0000  0.0000  0.0000  2 O 2.23
O  0.5000  0.0000  0.0000  2 K 2.23
Br  0.5000  0.5000  0.5000  8 P 3.75
P  0.0000  0.0000  0.5000  2 K 3.01
P  0.0000  0.5000  0.0000  2 K 3.01

Properties
Its crystal system is tetragonal. The calculation puts the final energy at -9.617 eV per atom. As for the density of states at the Fermi level: 1.59 states/eV per atom. For the total magnetic moment, the calculation gives 6.23 μB per formula unit. The value obtained for the uncorrected formation energy is 1.35 eV/atom. As for the theoretical density: 2.02 g/cm3. The space group is No. 123.

Entry 12:
Entry from the Alexandria database: a PBEsol-optimized structure of KRuBrO2 (meta-GGA SCAN).

Lattice parameters (Å, degrees): 4.3921 4.3921 5.7272 90.00 90.00 90.00
Last column: nearest neighbours and their distance in Å.
Fractional positions:
Ru  0.5000  0.5000  0.5000  4 Br 3.11
O  0.0000  0.5000  0.0000  2 K 2.20
O  0.5000  0.0000  0.0000  2 K 2.20
Br  0.0000  0.0000  0.5000  2 K 2.86, 4 Ru 3.11
K  0.0000  0.0000  0.0000  4 O 2.20

Properties
Its crystal system is tetragonal. The calculation puts the final energy at -14.020 eV per atom. As for the density of states at the Fermi level: 0.44 states/eV per atom. For the total magnetic moment, the calculation gives 6.00 μB per formula unit. The value obtained for the uncorrected formation energy is 1.00 eV/atom. As for the theoretical density: 3.79 g/cm3. The space group is No. 123.

Entry 13:
Entry from the Alexandria database: a PBEsol-optimized structure of K2OsBr (meta-GGA SCAN).

Lattice parameters (Å, degrees): 5.5979 5.6506 5.5979 60.31 90.00 119.69
Last column: nearest neighbours and their distance in Å.
Fractional positions:
K  0.7500  0.5000  0.7500  4 Br 3.45, 4 Os 3.45
K  0.2500  0.5000  0.2500  4 Os 3.45, 4 Br 3.45
Br  0.0000  0.0000  0.0000  8 K 3.45
Os  0.5000  0.0000  0.5000  8 K 3.45

Properties
Its crystal system is tetragonal. The calculation puts the final energy at -26.427 eV per atom. For the total magnetic moment, the calculation gives 3.00 μB per formula unit. For the energy above the most stable polymorph in this dataset, the calculation gives 61.7 meV/atom. The value obtained for the uncorrected formation energy is 0.57 eV/atom. As for the theoretical density: 4.58 g/cm3. The space group is No. 139.

Entry 14:
Entry from the Alexandria database: a PBEsol-optimized structure of K2OsBr (meta-GGA SCAN).

Lattice parameters (Å, degrees): 4.6747 4.6747 6.8037 90.00 90.00 90.00
Last column: nearest neighbours and their distance in Å.
Fractional positions:
Os  0.0000  0.0000  0.3748  6 K 3.31-3.40
K  0.0000  0.0000  0.8748  4 Br 3.31, 2 Os 3.40
K  0.5000  0.5000  0.3753  4 Os 3.31, 2 Br 3.40
Br  0.5000  0.5000  0.8751  6 K 3.31-3.40

Properties
Its crystal system is tetragonal. The calculation puts the final energy at -26.489 eV per atom. For the total magnetic moment, the calculation gives 3.00 μB per formula unit. For the energy above the most stable polymorph in this dataset, the calculation gives 0.0 meV/atom. The value obtained for the uncorrected formation energy is 0.51 eV/atom. As for the theoretical density: 3.89 g/cm3. The space group is No. 123.